First-principles (GGA+U) data for an optimized crystal structure of NpMnAuO6, as listed in Alexandria.

The structure in extended XYZ format:
```
18
Lattice="-2.095 -1.059 -4.807 1.905 -3.981 3.023 -8.678 -1.097 4.023" Properties=species:S:1:pos:R:3 pbc="T T T"
Np -2.931 -2.307 -1.191
Np -5.937 -3.830 3.431
Mn -1.598 -3.281 1.419
Mn -7.270 -2.856 0.820
Au 0.000 0.000 0.000
Au -4.339 -0.549 2.011
O -1.318 -3.383 -0.518
O -0.546 -1.639 1.622
O -6.311 -1.146 0.841
O -8.321 -4.498 0.617
O -3.159 -2.242 0.847
O -1.917 -2.969 3.328
O -8.778 -1.675 0.402
O -2.556 -4.991 1.398
O -6.950 -3.168 -1.088
O -0.090 -4.462 1.837
O -5.709 -3.894 1.392
O -7.549 -2.753 2.758
```

Computed properties:
- calculated volume (Å³ per cell) = 238.6
- final energy (eV/cell) = -134.3
- Fermi-level density of states (states/eV/f.u.) = 4.132